Record 1
A plane-wave DFT calculation with PBE+U was carried out for an optimized crystal structure of Li5Mn3CuP4O16.

Structure (CIF):
```
data_Li5Mn3CuP4O16
_space_group_name_H-M_alt 'P 1'
_space_group_IT_number 1
_space_group_name_Hall 'P 1'
_cell_length_a 4.904
_cell_length_b 6.248
_cell_length_c 10.662
_cell_angle_alpha 92.77
_cell_angle_beta 91.66
_cell_angle_gamma 89.94
loop_
_atom_site_label
_atom_site_fract_x
_atom_site_fract_y
_atom_site_fract_z
Li1 0.969 0.515 0.965
Li2 0.987 0.982 0.992
Li3 0.621 0.479 0.385
Li4 0.551 0.980 0.486
Li5 0.360 0.562 0.650
Mn1 0.537 0.762 0.198
Mn2 0.064 0.231 0.277
Mn3 0.459 0.216 0.794
Cu1 0.851 0.780 0.674
P1 0.899 0.271 0.596
P2 0.601 0.246 0.101
P3 0.401 0.739 0.911
P4 0.125 0.749 0.400
O1 0.813 0.243 0.454
O2 0.759 0.081 0.663
O3 0.759 0.477 0.655
O4 0.810 0.755 0.386
O5 0.713 0.750 0.927
O6 0.748 0.048 0.160
O7 0.711 0.440 0.187
O8 0.714 0.261 0.967
O9 0.262 0.729 0.042
O10 0.299 0.534 0.833
O11 0.276 0.938 0.848
O12 0.289 0.226 0.102
O13 0.209 0.272 0.616
O14 0.260 0.938 0.331
O15 0.243 0.539 0.336
O16 0.231 0.771 0.538
```

Energy = -0.252 hartree per atom
Total magnetic moment = 15.0 μB/cell
Mass density = 3.273 g cm⁻³
N(E_F) = 0.0 states/eV per cell

=====

Record 2
A plane-wave DFT calculation with PBE+U was carried out for an optimized crystal structure of Li2MnCuP2O8.

Structure (CIF):
```
data_Li2MnCuP2O8
_space_group_name_H-M_alt 'P 1'
_space_group_IT_number 1
_space_group_name_Hall 'P 1'
_cell_length_a 6.165
_cell_length_b 4.779
_cell_length_c 10.290
_cell_angle_alpha 87.70
_cell_angle_beta 90.00
_cell_angle_gamma 90.00
loop_
_atom_site_label
_atom_site_fract_x
_atom_site_fract_y
_atom_site_fract_z
Li1 0.000 0.000 0.000
Li2 0.500 0.000 0.000
Li3 0.000 0.500 0.500
Li4 0.500 0.500 0.500
Mn1 0.250 0.477 0.782
Mn2 0.750 0.523 0.218
Cu1 0.750 0.941 0.713
Cu2 0.250 0.059 0.287
P1 0.750 0.405 0.899
P2 0.250 0.927 0.588
P3 0.750 0.073 0.412
P4 0.250 0.595 0.101
O1 0.250 0.710 0.958
O2 0.750 0.731 0.888
O3 0.954 0.275 0.834
O4 0.546 0.275 0.834
O5 0.449 0.784 0.659
O6 0.051 0.784 0.659
O7 0.250 0.247 0.590
O8 0.750 0.186 0.553
O9 0.250 0.814 0.447
O10 0.750 0.753 0.410
O11 0.949 0.216 0.341
O12 0.551 0.216 0.341
O13 0.454 0.725 0.166
O14 0.046 0.725 0.166
O15 0.250 0.269 0.112
O16 0.750 0.290 0.042
```

Energy = -0.246 hartree per atom
Total magnetic moment = 11.6 μB/cell
Mass density = 3.534 g cm⁻³
N(E_F) = 6.5 states/eV per cell

=====

Record 3
A plane-wave DFT calculation with PBE+U was carried out for an optimized crystal structure of LiMn2CuRu2O8.

Structure (CIF):
```
data_LiMn2CuRu2O8
_space_group_name_H-M_alt 'P 1'
_space_group_IT_number 1
_space_group_name_Hall 'P 1'
_cell_length_a 6.142
_cell_length_b 6.142
_cell_length_c 6.142
_cell_angle_alpha 124.78
_cell_angle_beta 121.53
_cell_angle_gamma 84.65
loop_
_atom_site_label
_atom_site_fract_x
_atom_site_fract_y
_atom_site_fract_z
Li1 0.606 0.106 0.500
Mn1 0.253 0.505 0.748
Mn2 0.757 0.505 0.252
Cu1 0.875 0.875 0.000
Ru1 0.251 0.028 0.777
Ru2 0.251 0.474 0.223
O1 0.029 0.749 0.280
O2 0.469 0.749 0.720
O3 0.023 0.285 0.262
O4 0.023 0.761 0.738
O5 0.511 0.255 0.256
O6 0.999 0.255 0.744
O7 0.477 0.701 0.224
O8 0.477 0.252 0.776
```

Energy = -0.253 hartree per atom
Total magnetic moment = 6.3 μB/cell
Mass density = 5.465 g cm⁻³
N(E_F) = 7.4 states/eV per cell

=====

Record 4
A plane-wave DFT calculation with PBE+U was carried out for an optimized crystal structure of Sr4LiMn2Cu3S4O4.

Structure (CIF):
```
data_Sr4LiMn2Cu3S4O4
_space_group_name_H-M_alt 'P 1'
_space_group_IT_number 1
_space_group_name_Hall 'P 1'
_cell_length_a 9.381
_cell_length_b 9.381
_cell_length_c 5.894
_cell_angle_alpha 88.81
_cell_angle_beta 88.81
_cell_angle_gamma 143.33
loop_
_atom_site_label
_atom_site_fract_x
_atom_site_fract_y
_atom_site_fract_z
Sr1 0.544 0.879 0.715
Sr2 0.121 0.456 0.285
Sr3 0.910 0.622 0.273
Sr4 0.378 0.090 0.727
Li1 0.881 0.119 0.000
Mn1 0.499 0.031 0.233
Mn2 0.969 0.501 0.767
Cu1 0.496 0.504 0.000
Cu2 0.497 0.503 0.500
Cu3 0.014 0.986 0.000
S1 0.824 0.657 0.767
S2 0.343 0.176 0.233
S3 0.676 0.805 0.248
S4 0.195 0.324 0.752
O1 0.781 0.219 0.000
O2 0.245 0.755 0.500
O3 0.242 0.758 0.000
O4 0.740 0.260 0.500
```

Total magnetic moment = 10.0 μB/cell
Excess energy over the best structure of this formula in the dataset = 0.103 eV per atom
Mass density = 4.567 g cm⁻³
N(E_F) = 0.1 states/eV per cell

=====

Record 5
A plane-wave DFT calculation with PBE+U was carried out for an optimized crystal structure of Sr4LiMn2Cu3S4O4.

Structure (CIF):
```
data_Sr4LiMn2Cu3S4O4
_space_group_name_H-M_alt 'P 1'
_space_group_IT_number 1
_space_group_name_Hall 'P 1'
_cell_length_a 5.890
_cell_length_b 6.515
_cell_length_c 8.998
_cell_angle_alpha 107.84
_cell_angle_beta 90.63
_cell_angle_gamma 92.14
loop_
_atom_site_label
_atom_site_fract_x
_atom_site_fract_y
_atom_site_fract_z
Sr1 0.000 0.671 0.257
Sr2 0.482 0.152 0.171
Sr3 0.484 0.859 0.744
Sr4 0.021 0.294 0.835
Li1 0.936 0.153 0.099
Mn1 0.536 0.593 0.029
Mn2 0.013 0.800 0.898
Cu1 0.753 0.059 0.489
Cu2 0.324 0.121 0.491
Cu3 0.822 0.464 0.560
S1 0.964 0.811 0.624
S2 0.539 0.343 0.695
S3 0.491 0.792 0.354
S4 0.024 0.216 0.369
O1 0.758 0.381 0.072
O2 0.195 0.624 0.001
O3 0.703 0.871 0.995
O4 0.204 0.083 0.967
```

Total magnetic moment = 10.0 μB/cell
Excess energy over the best structure of this formula in the dataset = 0.062 eV per atom
Mass density = 4.299 g cm⁻³

=====

Record 6
A plane-wave DFT calculation with PBE+U was carried out for an optimized crystal structure of Sr4LiMn2Cu3S4O4.

Structure (CIF):
```
data_Sr4LiMn2Cu3S4O4
_space_group_name_H-M_alt 'P 1'
_space_group_IT_number 1
_space_group_name_Hall 'P 1'
_cell_length_a 8.961
_cell_length_b 8.961
_cell_length_c 5.987
_cell_angle_alpha 88.66
_cell_angle_beta 88.66
_cell_angle_gamma 140.95
loop_
_atom_site_label
_atom_site_fract_x
_atom_site_fract_y
_atom_site_fract_z
Sr1 0.605 0.908 0.749
Sr2 0.092 0.395 0.251
Sr3 0.948 0.643 0.295
Sr4 0.357 0.052 0.705
Li1 0.644 0.356 0.000
Mn1 0.513 0.987 0.245
Mn2 0.013 0.487 0.755
Cu1 0.494 0.506 0.000
Cu2 0.496 0.504 0.500
Cu3 0.996 0.004 0.000
S1 0.815 0.670 0.757
S2 0.330 0.185 0.243
S3 0.666 0.817 0.241
S4 0.183 0.334 0.759
O1 0.751 0.249 0.000
O2 0.250 0.750 0.500
O3 0.249 0.751 0.000
O4 0.753 0.247 0.500
```

Total magnetic moment = 10.0 μB/cell
Excess energy over the best structure of this formula in the dataset = 0.099 eV per atom
Mass density = 4.672 g cm⁻³
N(E_F) = 0.3 states/eV per cell

=====

Record 7
A plane-wave DFT calculation with PBE+U was carried out for an optimized crystal structure of Sr4LiMn2Cu3S4O4.

Structure (CIF):
```
data_Sr4LiMn2Cu3S4O4
_space_group_name_H-M_alt 'P 1'
_space_group_IT_number 1
_space_group_name_Hall 'P 1'
_cell_length_a 5.831
_cell_length_b 6.640
_cell_length_c 9.249
_cell_angle_alpha 101.87
_cell_angle_beta 108.07
_cell_angle_gamma 89.07
loop_
_atom_site_label
_atom_site_fract_x
_atom_site_fract_y
_atom_site_fract_z
Sr1 0.676 0.980 0.246
Sr2 0.080 0.473 0.172
Sr3 0.867 0.452 0.747
Sr4 0.397 0.073 0.821
Li1 0.555 0.346 0.114
Mn1 0.437 0.619 0.925
Mn2 0.978 0.937 0.991
Cu1 0.556 0.742 0.496
Cu2 0.343 0.238 0.462
Cu3 0.045 0.768 0.540
S1 0.838 0.961 0.694
S2 0.287 0.514 0.641
S3 0.607 0.415 0.380
S4 0.210 0.910 0.384
O1 0.804 0.662 0.996
O2 0.264 0.384 0.966
O3 0.331 0.897 0.013
O4 0.783 0.171 0.064
```

Total magnetic moment = 10.0 μB/cell
Excess energy over the best structure of this formula in the dataset = 0.061 eV per atom
Mass density = 4.243 g cm⁻³

=====

Record 8
A plane-wave DFT calculation with PBE+U was carried out for an optimized crystal structure of Sr4LiMn2Cu3S4O4.

Structure (CIF):
```
data_Sr4LiMn2Cu3S4O4
_space_group_name_H-M_alt 'P 1'
_space_group_IT_number 1
_space_group_name_Hall 'P 1'
_cell_length_a 9.284
_cell_length_b 9.284
_cell_length_c 5.827
_cell_angle_alpha 90.00
_cell_angle_beta 90.00
_cell_angle_gamma 143.41
loop_
_atom_site_label
_atom_site_fract_x
_atom_site_fract_y
_atom_site_fract_z
Sr1 0.096 0.410 0.752
Sr2 0.590 0.904 0.248
Sr3 0.410 0.096 0.248
Sr4 0.904 0.590 0.752
Li1 0.000 0.000 0.500
Mn1 0.000 0.500 0.251
Mn2 0.500 0.000 0.749
Cu1 0.500 0.500 0.000
Cu2 0.500 0.500 0.500
Cu3 0.000 0.000 0.000
S1 0.327 0.176 0.751
S2 0.824 0.673 0.249
S3 0.176 0.327 0.249
S4 0.673 0.824 0.751
O1 0.751 0.249 0.000
O2 0.250 0.750 0.500
O3 0.249 0.751 0.000
O4 0.750 0.250 0.500
```

Total magnetic moment = 9.9 μB/cell
Excess energy over the best structure of this formula in the dataset = 0.000 eV per atom
Mass density = 4.716 g cm⁻³
N(E_F) = 0.8 states/eV per cell

=====

Q: Among the records above, which one has the lowest mass density?
A: Li5Mn3CuP4O16